No. 1
Density functional theory data (PBE) for a geometry-optimized TmLuTlRh structure.

Structure (extended XYZ):
```
4
Lattice="0.000 3.555 3.555 3.555 0.000 3.555 3.555 3.555 0.000" Properties=species:S:1:pos:R:3 pbc="T T T"
Tm 0.000 0.000 0.000
Lu 3.555 3.555 3.555
Tl 5.333 5.333 5.333
Rh 1.778 1.778 1.778
```

Output
**Formation energy**: -0.530 eV/atom
**Size of the total moment**: 0.000 Bohr magnetons per cell
**Total energy**: -5.207 eV/atom



No. 2
Density functional theory data (PBE) for a geometry-optimized YLuTlRh structure.

Structure (extended XYZ):
```
4
Lattice="0.000 3.584 3.584 3.584 0.000 3.584 3.584 3.584 0.000" Properties=species:S:1:pos:R:3 pbc="T T T"
Y 0.000 0.000 0.000
Lu 3.584 3.584 3.584
Tl 1.792 1.792 1.792
Rh 5.377 5.377 5.377
```

Output
**Formation energy**: -0.517 eV/atom
**Size of the total moment**: 0.000 Bohr magnetons per cell
**Total energy**: -5.693 eV/atom



No. 3
Density functional theory data (PBE) for a geometry-optimized TmLuRh2 structure.

Structure (extended XYZ):
```
4
Lattice="3.307 0.000 0.000 0.000 3.307 0.000 0.000 0.000 6.960" Properties=species:S:1:pos:R:3 pbc="T T T"
Tm 0.000 0.000 0.000
Lu 0.000 0.000 3.480
Rh 1.654 1.654 1.757
Rh 1.654 1.654 5.203
```

Output
**Formation energy**: -0.989 eV/atom
**Size of the total moment**: 0.000 Bohr magnetons per cell
**Offset from the most stable computed form**: 2.0 meV per atom
**Total energy**: -6.913 eV/atom



No. 4
Density functional theory data (PBE) for a geometry-optimized TmLuRh2 structure.

Structure (extended XYZ):
```
4
Lattice="1.729 0.999 7.859 -1.729 0.999 7.859 0.000 -1.997 7.859" Properties=species:S:1:pos:R:3 pbc="T T T"
Tm 0.000 0.000 0.000
Lu 0.000 0.000 11.788
Rh 0.000 0.000 5.884
Rh 0.000 0.000 17.693
```

Output
**Formation energy**: -0.607 eV/atom
**Size of the total moment**: 0.000 Bohr magnetons per cell
**Offset from the most stable computed form**: 383.9 meV per atom
**Total energy**: -6.531 eV/atom



No. 5
Density functional theory data (PBE) for a geometry-optimized Tm3LuRh structure.

Structure (extended XYZ):
```
5
Lattice="5.315 0.000 0.000 0.000 5.315 0.000 0.000 0.000 5.315" Properties=species:S:1:pos:R:3 pbc="T T T"
Tm 0.000 0.000 2.657
Tm 0.000 2.657 0.000
Tm 2.657 0.000 0.000
Lu 2.657 2.657 2.657
Rh 0.000 0.000 0.000
```

Output
**Formation energy**: -0.225 eV/atom
**Size of the total moment**: 0.000 Bohr magnetons per cell
**Total energy**: -5.283 eV/atom



No. 6
Density functional theory data (PBE) for a geometry-optimized TmLuRh2 structure.

Structure (extended XYZ):
```
4
Lattice="4.702 0.000 0.000 0.000 4.702 0.000 0.000 0.000 3.444" Properties=species:S:1:pos:R:3 pbc="T T T"
Tm 0.000 0.000 0.000
Lu 2.351 2.351 0.000
Rh 0.000 2.351 1.722
Rh 2.351 0.000 1.722
```

Output
**Formation energy**: -0.991 eV/atom
**Size of the total moment**: 0.000 Bohr magnetons per cell
**Offset from the most stable computed form**: 0.0 meV per atom
**Total energy**: -6.915 eV/atom